First-principles (PBE with a Hubbard U) data for a relaxed structure of La2HfFeO6, as listed in Alexandria via LeMat-Bulk.

space-group type = P2_1/c, No. 14
E_tot = -8.455 eV/atom
magnetization = 0.00 μB/atom

a = 5.677 Å, b = 5.812 Å, c = 8.087 Å
α = 90.00°, β = 89.52°, γ = 90.00°
Element x y z (fractional)
O 0.705 0.300 0.950
La 0.988 0.050 0.748
Fe 0.000 0.500 0.500
O 0.301 0.708 0.446
O 0.801 0.792 0.946
O 0.295 0.700 0.050
O 0.599 0.033 0.253
O 0.099 0.467 0.753
O 0.795 0.800 0.550
O 0.901 0.533 0.247
O 0.199 0.208 0.054
Fe 0.500 0.000 0.000
Hf 0.000 0.500 0.000
La 0.512 0.550 0.752
O 0.699 0.292 0.554
La 0.012 0.950 0.252
O 0.401 0.967 0.747
Hf 0.500 0.000 0.500
La 0.488 0.450 0.248
O 0.205 0.200 0.450

---

First-principles (PBE with a Hubbard U) data for a relaxed structure of LaHfFeO2, as listed in Alexandria via LeMat-Bulk.

space-group type = P4/mmm, No. 123
relative energy among the computed polymorphs = 0.0 kJ per mole of atoms
magnetization = 0.41 μB/atom

a = 4.429 Å, b = 5.413 Å, c = 4.429 Å
α = 90.00°, β = 90.00°, γ = 90.00°
Element x y z (fractional)
Hf 0.500 0.500 0.500
La 0.000 0.000 0.000
O 0.000 0.000 0.500
Fe 0.000 0.500 0.000
O 0.500 0.000 0.000

---

First-principles (PBE with a Hubbard U) data for a relaxed structure of LaHfFeO2, as listed in Alexandria via LeMat-Bulk.

space-group type = P4/mmm, No. 123
relative energy among the computed polymorphs = 7.8 kJ per mole of atoms
magnetization = 0.37 μB/atom

a = 4.292 Å, b = 4.458 Å, c = 4.292 Å
α = 90.00°, β = 90.00°, γ = 90.00°
Element x y z (fractional)
O 0.500 0.000 0.000
O 0.000 0.000 0.500
Hf 0.000 0.500 0.000
La 0.500 0.500 0.500
Fe 0.000 0.000 0.000

---

Q: What is the magnetization in the second record?
A: 0.41 μB/atom